A relaxed KTaPd3 crystal, computed with PBE.

Cell lengths 4.9846, 4.9846, 4.9846 Å; angles 90.00, 90.00, 90.00 degrees
Fractional coordinates of all 5 atoms:
K 0.0000 0.0000 0.0000
Ta 0.5000 0.5000 0.5000
Pd 0.0000 0.5000 0.5000
Pd 0.5000 0.0000 0.5000
Pd 0.5000 0.5000 0.0000

Computed properties:
DOS at the Fermi energy	1.048	states/eV/atom
spin magnetization	0.00	μB/f.u.
DFT total energy	-5.185	eV/atom
calculated formation energy	0.520	eV/atom